a | Entry from Alexandria via LeMat-Bulk: LaWAu3 after structural relaxation (GGA-PBE).

Summary:
The calculation puts the total magnetization at 0.00 μB/atom.

abc: 5.0761 5.0761 5.0761
angles: 90.00 90.00 90.00
Space group Pm-3m (No. 221)
Inequivalent atoms, fractional coordinates:
La: 0.0000 0.0000 0.0000 [1 per cell]
W: 0.5000 0.5000 0.5000 [1 per cell]
Au: 0.0000 0.5000 0.5000 [3 per cell]



b | Entry from Alexandria via LeMat-Bulk: LaWAu3 after structural relaxation (GGA-PBE).

Summary:
The calculation puts the total magnetization at 0.00 μB/atom.

abc: 5.3018 5.3018 5.3018
angles: 90.00 90.00 90.00
Space group Pm-3m (No. 221)
Inequivalent atoms, fractional coordinates:
La: 0.0000 0.0000 0.0000 [1 per cell]
W: 0.5000 0.5000 0.5000 [1 per cell]
Au: 0.0000 0.0000 0.5000 [3 per cell]



Computed relative energies in units of kJ/mol of atoms: a 0.0; b 145.8



a | Entry from Alexandria via LeMat-Bulk: LaW3Au after structural relaxation (GGA-PBE).

Summary:
The calculation puts the total magnetization at 0.00 μB/atom.

abc: 4.8070 4.8070 4.8070
angles: 90.00 90.00 90.00
Space group Pm-3m (No. 221)
Inequivalent atoms, fractional coordinates:
La: 0.0000 0.0000 0.0000 [1 per cell]
W: 0.0000 0.0000 0.5000 [3 per cell]
Au: 0.5000 0.5000 0.5000 [1 per cell]



b | Entry from Alexandria via LeMat-Bulk: LaW3Au after structural relaxation (GGA-PBE).

Summary:
The calculation puts the total magnetization at 0.00 μB/atom.

abc: 4.9677 4.9677 4.9677
angles: 90.00 90.00 90.00
Space group Pm-3m (No. 221)
Inequivalent atoms, fractional coordinates:
La: 0.0000 0.0000 0.0000 [1 per cell]
W: 0.0000 0.5000 0.5000 [3 per cell]
Au: 0.5000 0.5000 0.5000 [1 per cell]



Computed relative energies in units of kJ/mol of atoms: a 78.2; b 0.0



a | Entry from Alexandria via LeMat-Bulk: La2YAu2 after structural relaxation (GGA-PBE).

Summary:
The calculation puts the total magnetization at 0.00 μB/atom.

abc: 8.4263 8.4263 3.9995
angles: 90.00 90.00 90.00
Space group P4/mbm (No. 127)
Inequivalent atoms, fractional coordinates:
La: 0.1668 0.3332 0.0000 [4 per cell]
Y: 0.0000 0.0000 0.5000 [2 per cell]
Au: 0.1314 0.6314 0.5000 [4 per cell]



b | Entry from Alexandria via LeMat-Bulk: La2YAu2 after structural relaxation (GGA-PBE).

Summary:
The calculation puts the total magnetization at 0.00 μB/atom.

abc: 5.1316 5.1316 11.7996
angles: 90.00 90.00 90.00
Space group I4/mmm (No. 139)
Inequivalent atoms, fractional coordinates:
La: 0.0000 0.5000 0.2500 [4 per cell]
Y: 0.0000 0.0000 0.0000 [2 per cell]
Au: 0.0000 0.0000 0.3874 [4 per cell]



c | Entry from Alexandria via LeMat-Bulk: La2YAu2 after structural relaxation (GGA-PBE).

Summary:
The calculation puts the total magnetization at 0.00 μB/atom.

abc: 5.4925 5.4925 10.5823
angles: 90.00 90.00 90.00
Space group I4/mmm (No. 139)
Inequivalent atoms, fractional coordinates:
La: 0.0000 0.0000 0.1479 [4 per cell]
Y: 0.0000 0.0000 0.5000 [2 per cell]
Au: 0.0000 0.5000 0.2500 [4 per cell]



Computed relative energies in units of kJ/mol of atoms: a 0.0; b 30.1; c 43.3



a | Entry from Alexandria via LeMat-Bulk: LaY2Au after structural relaxation (GGA-PBE).

Summary:
The calculation puts the total magnetization at 0.00 μB/atom.

abc: 3.8226 3.8226 29.8737
angles: 90.00 90.00 120.00
Space group R3m (No. 160, hexagonal axes)
Inequivalent atoms, fractional coordinates:
La: 0.0000 0.0000 0.0000 [3 per cell]
Y: 0.0000 0.0000 0.5637 [3 per cell]
Y: 0.0000 0.0000 0.7653 [3 per cell]
Au: 0.0000 0.0000 0.1639 [3 per cell]



b | Entry from Alexandria via LeMat-Bulk: LaY2Au after structural relaxation (GGA-PBE).

Summary:
The calculation puts the total magnetization at 0.00 μB/atom.

abc: 3.7610 3.7610 30.4541
angles: 90.00 90.00 120.00
Space group R3m (No. 160, hexagonal axes)
Inequivalent atoms, fractional coordinates:
La: 0.0000 0.0000 0.0000 [3 per cell]
Y: 0.0000 0.0000 0.2370 [3 per cell]
Y: 0.0000 0.0000 0.4746 [3 per cell]
Au: 0.0000 0.0000 0.7416 [3 per cell]



c | Entry from Alexandria via LeMat-Bulk: LaY2Au after structural relaxation (GGA-PBE).

Summary:
The calculation puts the total magnetization at 0.00 μB/atom.

abc: 3.8059 4.9249 6.5426
angles: 90.00 105.70 90.00
Space group P2/m (No. 10)
Inequivalent atoms, fractional coordinates:
La: 0.0000 0.0000 0.0000 [1 per cell]
Y: 0.3827 0.5000 0.7217 [2 per cell]
Au: 0.0000 0.0000 0.5000 [1 per cell]



d | Entry from Alexandria via LeMat-Bulk: LaY2Au after structural relaxation (GGA-PBE).

Summary:
The calculation puts the total magnetization at 0.00 μB/atom.

abc: 3.6867 3.6867 8.7690
angles: 90.00 90.00 90.00
Space group P4mm (No. 99)
Inequivalent atoms, fractional coordinates:
La: 0.0000 0.0000 0.0000 [1 per cell]
Y: 0.0000 0.0000 0.5841 [1 per cell]
Y: 0.5000 0.5000 0.2993 [1 per cell]
Au: 0.5000 0.5000 0.7649 [1 per cell]



Computed relative energies in units of kJ/mol of atoms: a 7.5; b 8.9; c 9.5; d 0.0